Record 1
First-principles (PBE) data for SrPr2Nd3Te6 after structural relaxation, as listed in Alexandria.

The structure belongs to space group C2/m (No. 12); the cell edges are 19.824, 4.531 and 9.130 Å and the angles 90.00°, 103.62° and 90.00°. The inequivalent atoms are Sr at (0.000, 0.000, 0.000), Pr at (0.171, 0.500, 0.343), Nd at (0.000, 0.000, 0.500), Nd at (0.166, 0.500, 0.823), Te at (0.001, 0.500, 0.255), Te at (0.164, 0.000, 0.583) and Te at (0.169, 0.000, 0.081).

The density of states at the Fermi level is 0.496 states/eV per atom. The crystal system is monoclinic. For the raw total energy, the calculation gives -5.172 eV per atom. The value obtained for the uncorrected formation energy is -1473 meV per atom. As for the total moment: 0.000 μB/f.u.


Record 2
First-principles (PBE) data for Ba2LiNi after structural relaxation, as listed in Alexandria.

The structure belongs to space group C2/m (No. 12); the cell edges are 7.590, 4.393 and 9.941 Å and the angles 90.00°, 105.02° and 90.00°. The inequivalent atoms are Ba at (0.228, 0.000, 0.182), Li at (0.000, 0.000, 0.500) and Ni at (0.000, 0.500, 0.000).

The density of states at the Fermi level is 0.562 states/eV per atom. The crystal system is monoclinic. For the energy of formation, the calculation gives 0.14 eV/atom. For the raw total energy, the calculation gives -2.750 eV per atom. As for the total moment: 0.000 μB/f.u.


Record 3
First-principles (PBE) data for RbSi3Sn after structural relaxation, as listed in Alexandria.

The structure belongs to space group Pm-3m (No. 221); the cell edges are 5.486, 5.486 and 5.486 Å and the angles 90.00°, 90.00° and 90.00°. The inequivalent atoms are Rb at (0.000, 0.000, 0.000), Si at (0.000, 0.000, 0.500) and Sn at (0.500, 0.500, 0.500).

The density of states at the Fermi level is 1.517 states/eV per atom. The crystal system is cubic. For the energy above the most stable polymorph in this dataset, the calculation gives 5.610 eV/f.u. For the raw total energy, the calculation gives -2.178 eV per atom. The value obtained for the uncorrected formation energy is 2069 meV per atom. As for the total moment: 0.000 μB/f.u.


- What is the raw total energy in the third record?
  -2.178 eV per atom


- Among the records above, which one has the lowest raw total energy?
  SrPr2Nd3Te6


What did the first record say?
First-principles (PBE) data for SrPr2Nd3Te6 after structural relaxation, as listed in Alexandria.

The structure belongs to space group C2/m (No. 12); the cell edges are 19.824, 4.531 and 9.130 Å and the angles 90.00°, 103.62° and 90.00°. The inequivalent atoms are Sr at (0.000, 0.000, 0.000), Pr at (0.171, 0.500, 0.343), Nd at (0.000, 0.000, 0.500), Nd at (0.166, 0.500, 0.823), Te at (0.001, 0.500, 0.255), Te at (0.164, 0.000, 0.583) and Te at (0.169, 0.000, 0.081).

The density of states at the Fermi level is 0.496 states/eV per atom. The crystal system is monoclinic. For the raw total energy, the calculation gives -5.172 eV per atom. The value obtained for the uncorrected formation energy is -1473 meV per atom. As for the total moment: 0.000 μB/f.u.


What did the second record say?
First-principles (PBE) data for Ba2LiNi after structural relaxation, as listed in Alexandria.

The structure belongs to space group C2/m (No. 12); the cell edges are 7.590, 4.393 and 9.941 Å and the angles 90.00°, 105.02° and 90.00°. The inequivalent atoms are Ba at (0.228, 0.000, 0.182), Li at (0.000, 0.000, 0.500) and Ni at (0.000, 0.500, 0.000).

The density of states at the Fermi level is 0.562 states/eV per atom. The crystal system is monoclinic. For the energy of formation, the calculation gives 0.14 eV/atom. For the raw total energy, the calculation gives -2.750 eV per atom. As for the total moment: 0.000 μB/f.u.